Entry from Alexandria via LeMat-Bulk: an optimized crystal structure of ZnReAgI2 (PBE).

Geometry as POSCAR:
```
ZnReAgI2
1.0
5.627 0.000 0.000
0.000 5.627 0.000
0.000 0.000 5.067
Zn Re Ag I
1 1 1 2
Direct
0.000 0.000 0.000
0.000 0.000 0.500
0.500 0.500 0.500
0.000 0.500 0.000
0.500 0.000 0.000
```

The electronic total energy is -2.633 eV per atom. The calculation puts the magnetic moment at 0.840 μB/atom. The density of states at the Fermi level is 2.0 states/eV/cell. The formation energy without anion corrections is 6.5 eV/f.u.